A plane-wave DFT calculation with PBE-GGA was carried out for a relaxed Na3Ce3SmS8 crystal.

Fermi-level density of states, states/eV/f.u.: 13.73
ΔE_f (raw), eV/atom: -1.77
Calculated density, Mg/m³: 3.81

Cell lengths 8.171, 8.171, 8.171 Å; angles 60.58, 60.58, 60.58 degrees
Positions (direct):
Na  0.000  0.500  0.500
Na  0.500  0.000  0.500
Na  0.500  0.500  0.000
Ce  0.000  0.000  0.500
Ce  0.000  0.500  0.000
Ce  0.500  0.000  0.000
Sm  0.500  0.500  0.500
S  0.241  0.741  0.741
S  0.244  0.244  0.244
S  0.259  0.259  0.759
S  0.259  0.759  0.259
S  0.741  0.241  0.741
S  0.741  0.741  0.241
S  0.756  0.756  0.756
S  0.759  0.259  0.259